A geometry-optimized PmEuBi2 structure, computed with PBE-GGA.

Unit cell a=8.015 b=8.015 c=8.015 alpha=90.00 beta=90.00 gamma=90.00
Space group Fm-3m (No. 225)
Inequivalent atoms, fractional coordinates:
Pm1 0.000 0.000 0.000 x4
Eu1 0.000 0.000 0.500 x4
Bi1 0.250 0.250 0.250 x8

The value obtained for the mass density is 9.2 g/cm³. Its total magnetization is 1.741 μB per atom. Its calculated formation energy is -0.71 eV/atom. As for the volume: 32.18 Å³ per atom.